[1]
The following is a DFT calculation (PBE) of an optimized crystal structure of CaInGaPt3.

Properties
- DOS(E_F) (states/eV/cell) = 9.4
- E (eV per formula unit) = -29.348
- crystal system = orthorhombic
- mass density (Mg/m³) = 9.82

a = 5.687 Å, b = 16.923 Å, c = 5.689 Å
α = 90.00°, β = 90.00°, γ = 90.00°
Space group Cmcm (No. 63)
Asymmetric unit:
Ca (0.000, 0.231, 0.250) x4
In (0.000, 0.391, 0.750) x4
Ga (0.000, 0.091, 0.750) x4
Pt (0.000, 0.235, 0.750) x4
Pt (0.249, 0.500, 0.000) x8

=====

[2]
The following is a DFT calculation (PBE) of an optimized crystal structure of CsTb2Lu.

Properties
- DOS(E_F) (states/eV/cell) = 11.2
- E (eV per formula unit) = -13.352
- crystal system = trigonal
- mass density (Mg/m³) = 7.02

a = 3.6227 Å, b = 3.6227 Å, c = 39.0858 Å
α = 90.00°, β = 90.00°, γ = 120.00°
Space group R-3m (No. 166, hexagonal axes)
Asymmetric unit:
Cs (0.0000, 0.0000, 0.0000) x3
Tb (0.0000, 0.0000, 0.0962) x6
Lu (0.0000, 0.0000, 0.5000) x3

=====

[3]
The following is a DFT calculation (PBE) of an optimized crystal structure of Er5In2Ir2.

Properties
- DOS(E_F) (states/eV/cell) = 26.4
- E (eV per formula unit) = -51.742
- crystal system = orthorhombic
- mass density (Mg/m³) = 10.46

a = 16.276 Å, b = 7.592 Å, c = 7.456 Å
α = 90.00°, β = 90.00°, γ = 90.00°
Space group Cmce (No. 64)
Asymmetric unit:
Er (0.000, 0.000, 0.000) x4
Er (0.115, 0.170, 0.335) x16
In (0.220, 0.000, 0.000) x8
Ir (0.000, 0.134, 0.635) x8

=====

no.,formation enthalpy at 0 K (eV/f.u.),M_tot (μB/f.u.)
1,-3.458,0.00
2,1.283,0.00
3,-5.728,0.00